A) Density functional theory data (GGA-PBE) for Cu5Ag4 after structural relaxation.

Unit cell a=5.670 b=5.670 c=8.731 alpha=104.47 beta=104.47 gamma=28.86
Sites, in units of the cell vectors:
1 Cu 0.000 0.000 0.000
2 Cu 0.012 0.012 0.708
3 Cu 0.337 0.337 0.094
4 Cu 0.663 0.663 0.906
5 Cu 0.988 0.988 0.292
6 Ag 0.324 0.324 0.782
7 Ag 0.359 0.359 0.463
8 Ag 0.641 0.641 0.537
9 Ag 0.676 0.676 0.218

B) Density functional theory data (GGA-PBE) for Cu5Ag4 after structural relaxation.

Unit cell a=4.741 b=4.741 c=11.285 alpha=111.85 beta=111.85 gamma=34.06
Sites, in units of the cell vectors:
1 Cu 0.000 0.000 0.000
2 Cu 0.440 0.440 0.782
3 Cu 0.523 0.523 0.196
4 Cu 0.761 0.761 0.107
5 Cu 0.880 0.880 0.562
6 Ag 0.097 0.097 0.434
7 Ag 0.223 0.223 0.898
8 Ag 0.308 0.308 0.318
9 Ag 0.658 0.658 0.666

Of the structures shown above, A) is the most stable.